PuZn2SiAu4 | PBE | optimized geometry

abc: 4.4288 4.4288 9.3585
angles: 76.31 76.31 60.00
With the nearest neighbours (Å) after each atom.
Fractional coordinates of all 8 atoms:
Au 0.6017 0.6017 0.1949  3 Zn 2.60, 1 Si 2.75
Au 0.8676 0.8676 0.3973  3 Si 2.72, 3 Zn 2.89
Zn 0.7493 0.7493 0.7521  6 Au 2.60-2.89
Si 0.5000 0.5000 0.5000  8 Au 2.72-2.75
Au 0.1324 0.1324 0.6027  3 Si 2.72, 3 Zn 2.89
Au 0.3983 0.3983 0.8051  3 Zn 2.60, 1 Si 2.75
Zn 0.2507 0.2507 0.2479  6 Au 2.60-2.89
Pu 0.0000 0.0000 0.0000  6 Au 3.10, 6 Zn 3.39

Properties
SG: No. 166
N(E_F) (states/eV per cell): 16.02
Energy (eV per atom): -4.5940

***

VGa2Rh | PBE | optimized geometry

abc: 4.2786 4.2786 4.7106
angles: 62.99 62.99 60.00
With the nearest neighbours (Å) after each atom.
Fractional coordinates of all 4 atoms:
V 0.4862 0.4862 0.5414  1 Rh 2.47, 4 Ga 2.65-2.73
Ga 0.0566 0.0566 0.8303  3 Rh 2.50, 1 Ga 2.52, 3 V 2.73
Ga 0.2660 0.2660 0.2019  1 Ga 2.52, 4 V 2.65-2.82, 3 Rh 2.71
Rh 0.6912 0.6912 0.9264  1 V 2.47, 6 Ga 2.50-2.71

Properties
SG: No. 160
DFT formation energy (kJ/mol of formula units): -79
N(E_F) (states/eV per cell): 2.96
Energy (eV per atom): -5.8353

***

Mg3W | PBE | optimized geometry

abc: 2.8522 2.8522 9.4464
angles: 90.00 90.00 90.00
With the nearest neighbours (Å) after each atom.
Fractional coordinates of all 4 atoms:
W 0.0000 0.0000 0.0000  4 W 2.85, 8 Mg 2.96
Mg 0.5000 0.5000 0.7707  4 Mg 2.85, 4 W 2.96
Mg 0.0000 0.0000 0.5000  4 Mg 2.85
Mg 0.5000 0.5000 0.2293  4 Mg 2.85, 4 W 2.96

Properties
SG: No. 123
DFT formation energy (kJ/mol of formula units): 113
N(E_F) (states/eV per cell): 1.74
Energy (eV per atom): -4.1417
Energy above the lowest structure with this stoichiometry (meV per atom): 7.9

***

ErNiPb2 | PBE | optimized geometry

abc: 3.4842 3.4842 10.2473
angles: 80.21 80.21 60.00
With the nearest neighbours (Å) after each atom.
Fractional coordinates of all 4 atoms:
Pb 0.1049 0.1049 0.6852  3 Ni 2.74
Pb 0.8951 0.8951 0.3148  3 Ni 2.74
Ni 0.5000 0.5000 0.5000  6 Pb 2.74
Er 0.0000 0.0000 0.0000  2 Pb 3.16, 6 Er 3.48

Properties
SG: No. 166
DFT formation energy (kJ/mol of formula units): 75
N(E_F) (states/eV per cell): 2.87
Energy (eV per atom): -4.2456

***

Er5PbC | PBE | optimized geometry

abc: 6.6986 6.6986 10.3449
angles: 71.31 71.31 59.12
With the nearest neighbours (Å) after each atom.
Fractional coordinates of all 14 atoms:
Er 0.0278 0.9722 0.7500  2 C 2.59
Pb 0.4948 0.5052 0.2500  6 Er 3.10-3.45
Er 0.4205 0.8207 0.9579  1 C 2.38
Er 0.9862 0.6333 0.1175  1 C 2.40
Er 0.6333 0.9862 0.6175  1 C 2.40
Er 0.9722 0.0278 0.2500  2 C 2.59
Er 0.5795 0.1793 0.0421  1 C 2.38
Er 0.8207 0.4205 0.4579  1 C 2.38
Er 0.1793 0.5795 0.5421  1 C 2.38
Er 0.3667 0.0138 0.3825  1 C 2.40
C 0.0000 0.0000 0.5000  6 Er 2.38-2.59
Pb 0.5052 0.4948 0.7500  6 Er 3.10-3.45
C 0.0000 0.0000 0.0000  6 Er 2.38-2.59
Er 0.0138 0.3667 0.8825  1 C 2.40

Properties
SG: No. 15
DFT formation energy (kJ/mol of formula units): -128
N(E_F) (states/eV per cell): 12.30
Energy (eV per atom): -5.2965

***

Na3NpCr2Se6 | PBE | optimized geometry

abc: 6.7305 6.7305 7.3587
angles: 98.84 98.84 120.00
With the nearest neighbours (Å) after each atom.
Fractional coordinates of all 12 atoms:
Cr 0.6673 0.3327 0.0000  6 Se 2.62-2.63
Np 0.0000 0.0000 0.0000  6 Se 2.83
Se 0.5702 0.9286 0.7873  2 Cr 2.62-2.63, 1 Np 2.83, 1 Na 2.93
Cr 0.3327 0.6673 0.0000  6 Se 2.62-2.63
Se 0.4298 0.0714 0.2127  2 Cr 2.62-2.63, 1 Np 2.83, 1 Na 2.93
Se 0.2874 0.2874 0.7878  2 Cr 2.63, 1 Np 2.83, 1 Na 2.90
Na 0.8395 0.1605 0.5000  6 Se 2.93-3.09
Se 0.0714 0.4298 0.2127  2 Cr 2.62-2.63, 1 Np 2.83, 1 Na 2.93
Se 0.7126 0.7126 0.2122  2 Cr 2.63, 1 Np 2.83, 1 Na 2.90
Na 0.5000 0.5000 0.5000  6 Se 2.90-3.08
Se 0.9286 0.5702 0.7873  2 Cr 2.62-2.63, 1 Np 2.83, 1 Na 2.93
Na 0.1605 0.8395 0.5000  6 Se 2.93-3.09

Properties
SG: No. 12
N(E_F) (states/eV per cell): 9.60
Energy (eV per atom): -5.6880

***

CaTcNO2 | PBE | optimized geometry

abc: 3.9466 3.9466 3.8781
angles: 90.00 90.00 90.00
With the nearest neighbours (Å) after each atom.
Fractional coordinates of all 5 atoms:
N 0.0000 0.0000 0.5000  2 Tc 1.94
O 0.0000 0.5000 0.0000  2 Tc 1.97
O 0.5000 0.0000 0.0000  2 Tc 1.97
Tc 0.0000 0.0000 0.0000  2 N 1.94, 4 O 1.97
Ca 0.5000 0.5000 0.5000  8 O 2.77, 4 N 2.79

Properties
SG: No. 123
N(E_F) (states/eV per cell): 2.45
Energy (eV per atom): -7.5191

***

KYRu2 | PBE | optimized geometry

abc: 5.3048 5.3048 3.2756
angles: 90.00 90.00 118.17
With the nearest neighbours (Å) after each atom.
Fractional coordinates of all 4 atoms:
Ru 0.0000 0.0000 0.0000  2 Ru 2.73
Y 0.5000 0.0000 0.5000  2 K 2.73
Ru 0.5000 0.5000 0.0000  2 Ru 2.73
K 0.0000 0.5000 0.5000  2 Y 2.73

Properties
SG: No. 65
DFT formation energy (kJ/mol of formula units): 368
N(E_F) (states/eV per cell): 4.12
Energy (eV per atom): -5.5749
Energy above the lowest structure with this stoichiometry (meV per atom): 630.2

***

PtPbI6 | PBE | optimized geometry

abc: 7.7286 7.7286 7.8065
angles: 111.69 111.69 83.23
With the nearest neighbours (Å) after each atom.
Fractional coordinates of all 8 atoms:
I 0.3014 0.9222 0.2805  1 Pt 2.73
I 0.2214 0.2214 0.9632  1 Pt 2.71
Pt 0.0000 0.0000 0.0000  6 I 2.71-2.73
Pb 0.0000 0.0000 0.5000  6 I 3.24-3.25
I 0.0778 0.6986 0.7195  1 Pt 2.73
I 0.7786 0.7786 0.0368  1 Pt 2.71
I 0.9222 0.3014 0.2805  1 Pt 2.73
I 0.6986 0.0778 0.7195  1 Pt 2.73

Properties
SG: No. 12
Energy (eV per atom): -2.6782
Energy above the lowest structure with this stoichiometry (meV per atom): 0.0

***

Pu2ScCd | PBE | optimized geometry

abc: 5.1184 4.3795 4.3795
angles: 90.00 90.00 90.00
With the nearest neighbours (Å) after each atom.
Fractional coordinates of all 4 atoms:
Cd 0.5000 0.0000 0.0000  4 Sc 3.10, 8 Pu 3.37
Sc 0.5000 0.5000 0.5000  4 Cd 3.10, 8 Pu 3.37
Pu 0.0000 0.5000 0.0000  4 Pu 3.10, 4 Cd 3.37, 4 Sc 3.37
Pu 0.0000 0.0000 0.5000  4 Pu 3.10, 4 Cd 3.37, 4 Sc 3.37

Properties
SG: No. 123
DFT formation energy (kJ/mol of formula units): 16
N(E_F) (states/eV per cell): 11.12
Energy (eV per atom): -8.9372

***

Er2SiO | PBE | optimized geometry

abc: 3.6554 3.6554 6.6551
angles: 74.06 74.06 60.00
With the nearest neighbours (Å) after each atom.
Fractional coordinates of all 4 atoms:
Er 0.2618 0.2618 0.2145  3 O 2.51, 3 Si 2.78
Si 0.5000 0.5000 0.5000  6 Er 2.78
Er 0.7382 0.7382 0.7855  3 O 2.51, 3 Si 2.78
O 0.0000 0.0000 0.0000  6 Er 2.51

Properties
SG: No. 166
N(E_F) (states/eV per cell): 1.77
Energy (eV per atom): -6.4890
Energy above the lowest structure with this stoichiometry (meV per atom): 67.7

***

AcTbIrCl | PBE | optimized geometry

abc: 4.1736 4.1728 8.1603
angles: 89.99 104.80 120.00
With the nearest neighbours (Å) after each atom.
Fractional coordinates of all 4 atoms:
Cl 0.9510 0.3740 0.3390  3 Tb 3.20, 3 Ac 3.55
Ac 0.5073 0.1515 0.6741  3 Ir 2.93
Ir 0.3163 0.5560 0.8878  3 Tb 2.79, 3 Ac 2.93
Tb 0.1033 0.9493 0.0687  3 Ir 2.79

Properties
SG: No. 160
N(E_F) (states/eV per cell): 0.63
Energy (eV per atom): -6.0719

***

What did the eighth record say?
KYRu2 | PBE | optimized geometry

abc: 5.3048 5.3048 3.2756
angles: 90.00 90.00 118.17
With the nearest neighbours (Å) after each atom.
Fractional coordinates of all 4 atoms:
Ru 0.0000 0.0000 0.0000  2 Ru 2.73
Y 0.5000 0.0000 0.5000  2 K 2.73
Ru 0.5000 0.5000 0.0000  2 Ru 2.73
K 0.0000 0.5000 0.5000  2 Y 2.73

Properties
SG: No. 65
DFT formation energy (kJ/mol of formula units): 368
N(E_F) (states/eV per cell): 4.12
Energy (eV per atom): -5.5749
Energy above the lowest structure with this stoichiometry (meV per atom): 630.2

***

> What is the energy in the ninth record?

-2.6782 eV per atom